[1]
The following is a DFT calculation (GGA-PBEsol) of a geometry-optimized BaTaSe2 structure.

Geometry as extended XYZ:
```
4
Lattice="3.702 0.000 0.000 0.000 3.779 0.000 0.000 0.000 7.281" Properties=species:S:1:pos:R:3 pbc="T T T"
Ba 0.000 0.000 0.000
Ta 1.851 0.000 3.640
Se 1.851 1.889 1.890
Se 1.851 1.889 5.390
```

- formation energy without anion corrections (kcal/mol of atoms) = -15.962
- SG = Pmmm (47)
- volume (Å³/atom) = 25.460
- DOS at the Fermi energy (states/eV/cell) = 3.67
- relative energy among the computed polymorphs (meV/atom) = 102.9

---

[2]
The following is a DFT calculation (GGA-PBEsol) of a geometry-optimized NaHg structure.

Geometry as extended XYZ:
```
8
Lattice="3.549 -5.333 0.000 3.549 5.333 0.000 0.000 0.000 5.125" Properties=species:S:1:pos:R:3 pbc="T T T"
Na 3.549 3.951 3.844
Na 3.549 1.937 1.281
Na 3.549 -1.937 3.844
Na 3.549 -3.951 1.281
Hg 2.046 0.921 3.844
Hg 2.046 -0.921 1.281
Hg 5.052 0.921 3.844
Hg 5.052 -0.921 1.281
```

- energy of formation (eV per formula unit) = -0.50
- SG = Cmcm (63)
- volume (Å³/atom) = 24.251
- DOS at the Fermi energy (states/eV/cell) = 2.66

---

[3]
The following is a DFT calculation (GGA-PBEsol) of a geometry-optimized Ta2CrPt structure.

Geometry as extended XYZ:
```
4
Lattice="-1.972 1.972 4.011 1.972 -1.972 4.011 1.972 1.972 -4.011" Properties=species:S:1:pos:R:3 pbc="T T T"
Ta 1.972 0.000 2.005
Ta 0.000 1.972 2.005
Cr 0.000 0.000 0.000
Pt 0.000 0.000 4.011
```

- energy of formation (eV per formula unit) = -0.72
- SG = I4/mmm (139)
- volume (Å³/atom) = 15.597
- DOS at the Fermi energy (states/eV/cell) = 3.10

---

[4]
The following is a DFT calculation (GGA-PBEsol) of a geometry-optimized MoPPb structure.

Geometry as extended XYZ:
```
3
Lattice="-1.622 1.622 5.129 1.622 -1.622 5.129 1.622 1.622 -5.129" Properties=species:S:1:pos:R:3 pbc="T T T"
Mo 0.000 0.000 0.000
P 0.000 0.000 6.020
Pb 0.000 0.000 3.041
```

- energy of formation (eV per formula unit) = -0.01
- SG = I4mm (107)
- volume (Å³/atom) = 17.999
- DOS at the Fermi energy (states/eV/cell) = 1.92
- relative energy among the computed polymorphs (meV/atom) = 0.0

---

Number 1: energy -6.292 eV/atom, size of the total moment 0.48 μB per formula unit. Number 2: energy -1.234 eV/atom, size of the total moment 0.00 μB per formula unit. Number 3: energy -10.757 eV/atom, size of the total moment 2.01 μB per formula unit. Number 4: energy -7.189 eV/atom, size of the total moment 0.00 μB per formula unit.